*one*
Computed, not measured: a relaxed structure of Cd6AgPb at the PBE level of DFT.

Unit cell a=4.5436 b=4.5436 c=8.9762 alpha=90.00 beta=90.00 gamma=90.00
Last column: nearest neighbours and their distance in Å.
Positions (direct):
Cd 0.0000 0.0000 0.0000  8 Cd 3.05, 4 Ag 3.21
Cd 0.0000 0.0000 0.5000  4 Pb 3.21, 8 Cd 3.34
Cd 0.0000 0.5000 0.2268  8 Cd 3.05-3.34, 2 Ag 3.05, 2 Pb 3.34
Cd 0.0000 0.5000 0.7732  8 Cd 3.05-3.34, 2 Ag 3.05, 2 Pb 3.34
Cd 0.5000 0.0000 0.2268  8 Cd 3.05-3.34, 2 Ag 3.05, 2 Pb 3.34
Cd 0.5000 0.0000 0.7732  8 Cd 3.05-3.34, 2 Ag 3.05, 2 Pb 3.34
Ag 0.5000 0.5000 0.0000  12 Cd 3.05-3.21
Pb 0.5000 0.5000 0.5000  12 Cd 3.21-3.34

Properties
The value obtained for the density of states at the Fermi level is 4.0 states/eV/cell. The calculation puts the magnetization at 0.000 μB/cell.

=====

*two*
Computed, not measured: a relaxed structure of Cd6AgPb at the PBE level of DFT.

Unit cell a=9.9013 b=4.4888 c=9.1459 alpha=90.00 beta=114.11 gamma=90.00
Last column: nearest neighbours and their distance in Å.
Positions (direct):
Cd 0.0031 0.0000 0.2304  7 Cd 3.06-3.20, 2 Ag 3.07, 2 Pb 3.34
Cd 0.2415 0.5000 0.3490  1 Ag 3.11, 5 Cd 3.11-3.19, 3 Pb 3.21-3.26
Cd 0.2488 0.5000 0.8876  3 Ag 3.03-3.19, 8 Cd 3.04-3.20, 1 Pb 3.39
Cd 0.2512 0.0000 0.1124  3 Ag 3.03-3.19, 8 Cd 3.04-3.20, 1 Pb 3.39
Cd 0.2585 0.0000 0.6510  1 Ag 3.11, 5 Cd 3.11-3.19, 3 Pb 3.21-3.26
Cd 0.4969 0.5000 0.7696  7 Cd 3.06-3.20, 2 Ag 3.07, 2 Pb 3.34
Cd 0.5031 0.5000 0.2304  7 Cd 3.06-3.20, 2 Ag 3.07, 2 Pb 3.34
Cd 0.7415 0.0000 0.3490  1 Ag 3.11, 5 Cd 3.11-3.19, 3 Pb 3.21-3.26
Cd 0.7488 0.0000 0.8876  3 Ag 3.03-3.19, 8 Cd 3.04-3.20, 1 Pb 3.39
Cd 0.7512 0.5000 0.1124  3 Ag 3.03-3.19, 8 Cd 3.04-3.20, 1 Pb 3.39
Cd 0.7585 0.5000 0.6510  1 Ag 3.11, 5 Cd 3.11-3.19, 3 Pb 3.21-3.26
Cd 0.9969 0.0000 0.7696  7 Cd 3.06-3.20, 2 Ag 3.07, 2 Pb 3.34
Ag 0.0000 0.5000 0.0000  12 Cd 3.03-3.19
Ag 0.5000 0.0000 0.0000  12 Cd 3.03-3.19
Pb 0.0000 0.5000 0.5000  12 Cd 3.21-3.39
Pb 0.5000 0.0000 0.5000  12 Cd 3.21-3.39

Properties
The value obtained for the density of states at the Fermi level is 6.4 states/eV/cell. The calculation puts the magnetization at 0.000 μB/cell.

=====

Order of stability, best first: *two*, *one*

=====

*one*
Computed, not measured: a relaxed structure of YCdAgPb at the PBE level of DFT.

Unit cell a=4.4455 b=4.5082 c=4.8489 alpha=90.00 beta=90.00 gamma=90.00
Last column: nearest neighbours and their distance in Å.
Positions (direct):
Y 0.0000 0.0000 0.0000  4 Pb 3.17, 4 Ag 3.29, 4 Cd 3.31
Cd 0.0000 0.5000 0.5000  4 Ag 3.17, 4 Pb 3.29, 4 Y 3.31
Ag 0.5000 0.0000 0.5000  4 Cd 3.17, 4 Y 3.29, 4 Pb 3.31
Pb 0.5000 0.5000 0.0000  4 Y 3.17, 4 Cd 3.29, 4 Ag 3.31

Properties
The value obtained for the density of states at the Fermi level is 2.1 states/eV/cell. The calculation puts the magnetization at 0.000 μB/cell.

=====

*two*
Computed, not measured: a relaxed structure of YCdAgPb at the PBE level of DFT.

Unit cell a=7.3037 b=7.3037 c=7.3037 alpha=90.00 beta=90.00 gamma=90.00
Last column: nearest neighbours and their distance in Å.
Positions (direct):
Y 0.0000 0.0000 0.0000  4 Pb 3.16, 4 Ag 3.16
Y 0.0000 0.5000 0.5000  4 Pb 3.16, 4 Ag 3.16
Y 0.5000 0.0000 0.5000  4 Pb 3.16, 4 Ag 3.16
Y 0.5000 0.5000 0.0000  4 Pb 3.16, 4 Ag 3.16
Cd 0.0000 0.0000 0.5000  4 Pb 3.16, 4 Ag 3.16
Cd 0.0000 0.5000 0.0000  4 Pb 3.16, 4 Ag 3.16
Cd 0.5000 0.0000 0.0000  4 Pb 3.16, 4 Ag 3.16
Cd 0.5000 0.5000 0.5000  4 Pb 3.16, 4 Ag 3.16
Ag 0.2500 0.2500 0.2500  4 Cd 3.16, 4 Y 3.16
Ag 0.2500 0.7500 0.7500  4 Cd 3.16, 4 Y 3.16
Ag 0.7500 0.2500 0.7500  4 Cd 3.16, 4 Y 3.16
Ag 0.7500 0.7500 0.2500  4 Cd 3.16, 4 Y 3.16
Pb 0.2500 0.2500 0.7500  4 Cd 3.16, 4 Y 3.16
Pb 0.2500 0.7500 0.2500  4 Cd 3.16, 4 Y 3.16
Pb 0.7500 0.2500 0.2500  4 Cd 3.16, 4 Y 3.16
Pb 0.7500 0.7500 0.7500  4 Cd 3.16, 4 Y 3.16

Properties
The value obtained for the density of states at the Fermi level is 5.3 states/eV/cell. The calculation puts the magnetization at 0.000 μB/cell.

=====

Order of stability, best first: *one*, *two*

=====

*one*
Computed, not measured: a relaxed structure of CdAg2Pd2 at the PBE level of DFT.

Unit cell a=4.2962 b=5.9617 c=7.2661 alpha=90.00 beta=90.00 gamma=90.00
Last column: nearest neighbours and their distance in Å.
Positions (direct):
Cd 0.0000 0.0000 0.0000  4 Pd 2.71
Cd 0.5000 0.5000 0.5000  4 Pd 2.71
Ag 0.0000 0.5000 0.1927  6 Pd 2.77-2.89, 1 Ag 2.80, 2 Cd 3.10
Ag 0.0000 0.5000 0.8073  6 Pd 2.77-2.89, 1 Ag 2.80, 2 Cd 3.10
Ag 0.5000 0.0000 0.3073  6 Pd 2.77-2.89, 1 Ag 2.80, 2 Cd 3.10
Ag 0.5000 0.0000 0.6927  6 Pd 2.77-2.89, 1 Ag 2.80, 2 Cd 3.10
Pd 0.0000 0.2239 0.5000  1 Pd 2.67, 2 Cd 2.71, 6 Ag 2.77-2.89
Pd 0.0000 0.7761 0.5000  1 Pd 2.67, 2 Cd 2.71, 6 Ag 2.77-2.89
Pd 0.5000 0.2761 0.0000  1 Pd 2.67, 2 Cd 2.71, 6 Ag 2.77-2.89
Pd 0.5000 0.7239 0.0000  1 Pd 2.67, 2 Cd 2.71, 6 Ag 2.77-2.89

Properties
The value obtained for the density of states at the Fermi level is 2.5 states/eV/cell. The calculation puts the magnetization at 0.000 μB/cell.

=====

*two*
Computed, not measured: a relaxed structure of CdAg2Pd2 at the PBE level of DFT.

Unit cell a=7.0074 b=7.0074 c=3.7967 alpha=90.00 beta=90.00 gamma=90.00
Last column: nearest neighbours and their distance in Å.
Positions (direct):
Cd 0.0000 0.0000 0.0000  4 Pd 2.72
Cd 0.5000 0.5000 0.0000  4 Pd 2.72
Ag 0.1604 0.3396 0.5000  6 Pd 2.77-2.82
Ag 0.3396 0.8396 0.5000  6 Pd 2.77-2.82
Ag 0.6604 0.1604 0.5000  6 Pd 2.77-2.82
Ag 0.8396 0.6604 0.5000  6 Pd 2.77-2.82
Pd 0.1363 0.6363 0.0000  1 Pd 2.70, 2 Cd 2.72, 6 Ag 2.77-2.82
Pd 0.3637 0.1363 0.0000  1 Pd 2.70, 2 Cd 2.72, 6 Ag 2.77-2.82
Pd 0.6363 0.8637 0.0000  1 Pd 2.70, 2 Cd 2.72, 6 Ag 2.77-2.82
Pd 0.8637 0.3637 0.0000  1 Pd 2.70, 2 Cd 2.72, 6 Ag 2.77-2.82

Properties
The value obtained for the density of states at the Fermi level is 0.9 states/eV/cell. The calculation puts the magnetization at 0.000 μB/cell.

=====

*three*
Computed, not measured: a relaxed structure of CdAg2Pd2 at the PBE level of DFT.

Unit cell a=3.7823 b=3.7823 c=13.4370 alpha=90.00 beta=90.00 gamma=90.00
Last column: nearest neighbours and their distance in Å.
Positions (direct):
Cd 0.0000 0.0000 0.0000  8 Pd 2.98
Cd 0.5000 0.5000 0.5000  8 Pd 2.98
Ag 0.0000 0.5000 0.2500  4 Ag 2.67, 4 Pd 2.79
Ag 0.0000 0.5000 0.7500  4 Ag 2.67, 4 Pd 2.79
Ag 0.5000 0.0000 0.2500  4 Ag 2.67, 4 Pd 2.79
Ag 0.5000 0.0000 0.7500  4 Ag 2.67, 4 Pd 2.79
Pd 0.0000 0.0000 0.4025  1 Pd 2.62, 4 Ag 2.79
Pd 0.0000 0.0000 0.5975  1 Pd 2.62, 4 Ag 2.79
Pd 0.5000 0.5000 0.0975  1 Pd 2.62, 4 Ag 2.79
Pd 0.5000 0.5000 0.9025  1 Pd 2.62, 4 Ag 2.79

Properties
The value obtained for the density of states at the Fermi level is 3.2 states/eV/cell. The calculation puts the magnetization at 0.000 μB/cell.

=====

*four*
Computed, not measured: a relaxed structure of CdAg2Pd2 at the PBE level of DFT.

Unit cell a=8.9992 b=4.1087 c=6.3714 alpha=90.00 beta=133.25 gamma=90.00
Last column: nearest neighbours and their distance in Å.
Positions (direct):
Cd 0.0000 0.0000 0.0000  6 Pd 2.86-2.89, 6 Ag 2.92-2.94
Cd 0.5000 0.5000 0.0000  6 Pd 2.86-2.89, 6 Ag 2.92-2.94
Ag 0.1970 0.0000 0.6014  3 Ag 2.82-2.91, 6 Pd 2.86-2.92, 3 Cd 2.92-2.94
Ag 0.3030 0.5000 0.3986  3 Ag 2.82-2.91, 6 Pd 2.86-2.92, 3 Cd 2.92-2.94
Ag 0.6970 0.5000 0.6014  3 Ag 2.82-2.91, 6 Pd 2.86-2.92, 3 Cd 2.92-2.94
Ag 0.8030 0.0000 0.3986  3 Ag 2.82-2.91, 6 Pd 2.86-2.92, 3 Cd 2.92-2.94
Pd 0.0988 0.5000 0.8010  6 Ag 2.86-2.92, 3 Cd 2.86-2.89, 3 Pd 2.92-2.93
Pd 0.4012 0.0000 0.1990  6 Ag 2.86-2.92, 3 Cd 2.86-2.89, 3 Pd 2.92-2.93
Pd 0.5988 0.0000 0.8010  6 Ag 2.86-2.92, 3 Cd 2.86-2.89, 3 Pd 2.92-2.93
Pd 0.9012 0.5000 0.1990  6 Ag 2.86-2.92, 3 Cd 2.86-2.89, 3 Pd 2.92-2.93

Properties
The value obtained for the density of states at the Fermi level is 3.4 states/eV/cell. The calculation puts the magnetization at 0.000 μB/cell.

=====

Order of stability, best first: *four*, *two*, *one*, *three*

=====

*one*
Computed, not measured: a relaxed structure of CdAg2Pd2 at the PBE level of DFT.

Unit cell a=7.7371 b=7.7371 c=3.0384 alpha=90.00 beta=90.00 gamma=90.00
Last column: nearest neighbours and their distance in Å.
Positions (direct):
Cd 0.0000 0.0000 0.0000  2 Cd 3.04, 4 Ag 3.04, 8 Pd 3.25
Cd 0.5000 0.5000 0.0000  2 Cd 3.04, 4 Ag 3.04, 8 Pd 3.25
Ag 0.1290 0.3710 0.0000  6 Pd 2.69-2.77, 1 Ag 2.82
Ag 0.3710 0.8710 0.0000  6 Pd 2.69-2.77, 1 Ag 2.82
Ag 0.6290 0.1290 0.0000  6 Pd 2.69-2.77, 1 Ag 2.82
Ag 0.8710 0.6290 0.0000  6 Pd 2.69-2.77, 1 Ag 2.82
Pd 0.1681 0.6681 0.5000  6 Ag 2.69-2.77
Pd 0.3319 0.1681 0.5000  6 Ag 2.69-2.77
Pd 0.6681 0.8319 0.5000  6 Ag 2.69-2.77
Pd 0.8319 0.3319 0.5000  6 Ag 2.69-2.77

Properties
The value obtained for the density of states at the Fermi level is 4.2 states/eV/cell. The calculation puts the magnetization at 0.000 μB/cell.

=====

*two*
Computed, not measured: a relaxed structure of CdAg2Pd2 at the PBE level of DFT.

Unit cell a=3.7427 b=3.7427 c=13.6999 alpha=90.00 beta=90.00 gamma=90.00
Last column: nearest neighbours and their distance in Å.
Positions (direct):
Cd 0.0000 0.0000 0.0000  8 Ag 2.98
Cd 0.5000 0.5000 0.5000  8 Ag 2.98
Ag 0.0000 0.0000 0.4003  1 Ag 2.73, 4 Pd 2.78, 4 Cd 2.98
Ag 0.0000 0.0000 0.5997  1 Ag 2.73, 4 Pd 2.78, 4 Cd 2.98
Ag 0.5000 0.5000 0.0997  1 Ag 2.73, 4 Pd 2.78, 4 Cd 2.98
Ag 0.5000 0.5000 0.9003  1 Ag 2.73, 4 Pd 2.78, 4 Cd 2.98
Pd 0.0000 0.5000 0.2500  4 Pd 2.65, 4 Ag 2.78
Pd 0.0000 0.5000 0.7500  4 Pd 2.65, 4 Ag 2.78
Pd 0.5000 0.0000 0.2500  4 Pd 2.65, 4 Ag 2.78
Pd 0.5000 0.0000 0.7500  4 Pd 2.65, 4 Ag 2.78

Properties
The value obtained for the density of states at the Fermi level is 4.6 states/eV/cell. The calculation puts the magnetization at 0.000 μB/cell.

=====

Order of stability, best first: *one*, *two*

=====

*one*
Computed, not measured: a relaxed structure of CdAg3Pd4 at the PBE level of DFT.

Unit cell a=5.5218 b=7.8232 c=6.6823 alpha=90.00 beta=90.00 gamma=90.00
Last column: nearest neighbours and their distance in Å.
Positions (direct):
Cd 0.0000 0.0000 0.0000  4 Pd 2.64-2.77, 4 Ag 2.73-2.76
Cd 0.5000 0.5000 0.5000  4 Pd 2.64-2.77, 4 Ag 2.73-2.76
Ag 0.0000 0.1927 0.6602  1 Ag 2.68, 1 Cd 2.73, 4 Pd 2.76-2.87
Ag 0.0000 0.5000 0.4839  2 Ag 2.68, 4 Pd 2.68-2.86, 2 Cd 2.76
Ag 0.0000 0.8073 0.6602  1 Ag 2.68, 1 Cd 2.73, 4 Pd 2.76-2.87
Ag 0.5000 0.0000 0.9839  2 Ag 2.68, 4 Pd 2.68-2.86, 2 Cd 2.76
Ag 0.5000 0.3073 0.1602  1 Ag 2.68, 1 Cd 2.73, 4 Pd 2.76-2.87
Ag 0.5000 0.6927 0.1602  1 Ag 2.68, 1 Cd 2.73, 4 Pd 2.76-2.87
Pd 0.0000 0.3134 0.1472  1 Cd 2.64, 3 Ag 2.68-2.76, 3 Pd 2.78-2.92
Pd 0.0000 0.6866 0.1472  1 Cd 2.64, 3 Ag 2.68-2.76, 3 Pd 2.78-2.92
Pd 0.2492 0.5000 0.8585  4 Pd 2.75-2.78, 1 Cd 2.77, 5 Ag 2.86-3.07
Pd 0.2508 0.0000 0.3585  4 Pd 2.75-2.78, 1 Cd 2.77, 5 Ag 2.86-3.07
Pd 0.5000 0.1866 0.6472  1 Cd 2.64, 3 Ag 2.68-2.76, 3 Pd 2.78-2.92
Pd 0.5000 0.8134 0.6472  1 Cd 2.64, 3 Ag 2.68-2.76, 3 Pd 2.78-2.92
Pd 0.7492 0.0000 0.3585  4 Pd 2.75-2.78, 1 Cd 2.77, 5 Ag 2.86-3.07
Pd 0.7508 0.5000 0.8585  4 Pd 2.75-2.78, 1 Cd 2.77, 5 Ag 2.86-3.07

Properties
The value obtained for the density of states at the Fermi level is 10.7 states/eV/cell. The calculation puts the magnetization at 0.000 μB/cell.

=====

*two*
Computed, not measured: a relaxed structure of CdAg3Pd4 at the PBE level of DFT.

Unit cell a=4.1446 b=4.1446 c=15.5983 alpha=90.00 beta=90.00 gamma=90.00
Last column: nearest neighbours and their distance in Å.
Positions (direct):
Cd 0.0000 0.0000 0.0000  8 Pd 2.84, 4 Ag 2.93
Cd 0.5000 0.5000 0.5000  8 Pd 2.84, 4 Ag 2.93
Ag 0.0000 0.0000 0.2500  8 Pd 2.85, 4 Ag 2.93
Ag 0.0000 0.0000 0.5000  8 Pd 2.84, 4 Cd 2.93
Ag 0.0000 0.0000 0.7500  8 Pd 2.85, 4 Ag 2.93
Ag 0.5000 0.5000 0.0000  8 Pd 2.84, 4 Cd 2.93
Ag 0.5000 0.5000 0.2500  8 Pd 2.85, 4 Ag 2.93
Ag 0.5000 0.5000 0.7500  8 Pd 2.85, 4 Ag 2.93
Pd 0.0000 0.5000 0.1249  6 Ag 2.84-2.85, 2 Cd 2.84, 4 Pd 2.93
Pd 0.0000 0.5000 0.3751  2 Cd 2.84, 6 Ag 2.84-2.85, 4 Pd 2.93
Pd 0.0000 0.5000 0.6249  2 Cd 2.84, 6 Ag 2.84-2.85, 4 Pd 2.93
Pd 0.0000 0.5000 0.8751  6 Ag 2.84-2.85, 2 Cd 2.84, 4 Pd 2.93
Pd 0.5000 0.0000 0.1249  6 Ag 2.84-2.85, 2 Cd 2.84, 4 Pd 2.93
Pd 0.5000 0.0000 0.3751  2 Cd 2.84, 6 Ag 2.84-2.85, 4 Pd 2.93
Pd 0.5000 0.0000 0.6249  2 Cd 2.84, 6 Ag 2.84-2.85, 4 Pd 2.93
Pd 0.5000 0.0000 0.8751  6 Ag 2.84-2.85, 2 Cd 2.84, 4 Pd 2.93

Properties
The value obtained for the density of states at the Fermi level is 8.4 states/eV/cell. The calculation puts the magnetization at 0.000 μB/cell.

=====

Order of stability, best first: *two*, *one*